{"formula": "Ca2Mg", "functional": "PBE", "state": "optimized geometry", "lattice_angstrom": [[9.4859, -0.0207, 0.0000], [-8.7020, 3.7761, 0.0000], [0.0000, 0.0000, 5.9969]], "species": ["Ca", "Ca", "Ca", "Ca", "Mg", "Mg"], "frac_coords": [[0.6741, 0.3259, 0.0000], [0.2369, 0.7631, 0.5000], [0.9854, 0.0146, 0.0000], [0.5481, 0.4519, 0.5000], [0.8891, 0.1109, 0.5000], [0.3331, 0.6669, 0.0000]], "e_tot_ha_per_atom": -0.06723, "spacegroup": "Cmcm"}